Record 1
Computed, not measured: a relaxed structure of LaRuI2O at the PBE level of DFT.

The calculation puts the formation energy (no corrections) at -0.628 eV per atom. The calculation puts the polymorph energy (0 for the lowest one) at 0.000 eV/atom.

Cell lengths 5.708, 5.708, 3.816 Å; angles 90.00, 90.00, 90.00 degrees
Space group P4/mmm (No. 123)
Inequivalent atoms, fractional coordinates:
La  0.000  0.000  0.000 x1
Ru  0.500  0.500  0.500 x1
I  0.000  0.500  0.500 x2
O  0.500  0.500  0.000 x1

---

Record 2
Computed, not measured: a relaxed structure of Tb5YPt4 at the PBE level of DFT.

Its formation energy is -0.98 eV/atom.

Cell lengths 4.144, 7.711, 17.164 Å; angles 90.00, 90.00, 90.00 degrees
Space group Immm (No. 71)
Inequivalent atoms, fractional coordinates:
Tb  0.000  0.000  0.000 x2
Tb  0.000  0.241  0.336 x8
Y  0.000  0.500  0.000 x2
Pt  0.000  0.254  0.500 x4
Pt  0.000  0.500  0.209 x4

---

Record 3
Computed, not measured: a relaxed structure of KOs at the PBE level of DFT.

Its formation energy is 1.34 eV/atom. The calculation puts the polymorph energy (0 for the lowest one) at 0.639 eV/atom.

Cell lengths 2.7806, 2.7806, 17.4022 Å; angles 90.00, 90.00, 120.00 degrees
Space group R-3m (No. 166, hexagonal axes)
Inequivalent atoms, fractional coordinates:
K  0.0000  0.0000  0.0000 x3
Os  0.0000  0.0000  0.5000 x3

---

Record 4
Computed, not measured: a relaxed structure of KScZnF6 at the PBE level of DFT.

The calculation puts the formation energy (no corrections) at -3.161 eV per atom.

Cell lengths 7.376, 7.731, 10.848 Å; angles 90.00, 90.00, 90.00 degrees
Space group Imma (No. 74)
Inequivalent atoms, fractional coordinates:
K  0.000  0.250  0.065 x4
Sc  0.000  0.000  0.500 x4
Zn  0.250  0.250  0.750 x4
F  0.000  0.250  0.435 x4
F  0.000  0.250  0.819 x4
F  0.201  0.056  0.620 x16